Density functional theory data (PBE+U) for a relaxed structure of Nd3BWO9.

Lattice parameters (Å, degrees): 8.8042 8.8042 5.5867 90.00 90.00 120.00
Space group P6_3 (No. 173)
One atom of each set of equivalent atoms:
Nd 0.0800 0.7241 0.0000 [6 per cell]
B 0.0000 0.0000 0.1649 [2 per cell]
W 0.3333 0.6667 0.5440 [2 per cell]
O 0.0482 0.8727 0.6567 [6 per cell]
O 0.1353 0.5197 0.7674 [6 per cell]
O 0.2067 0.4661 0.3410 [6 per cell]

DOS(E_F), states/eV/cell: 0.00
Raw total energy, eV per cell: -228.89
Spin magnetization, μB per atom: 0.000